NdAlTc | GGA-PBE | relaxed

Computed properties:
- mass density (Mg/m³) = 7.20
- calculated formation energy (kJ per mole of atoms) = -10
- uncorrected energy (eV per atom) = -6.392
- SG = I4mm (107)
- magnetization (μB/atom) = 0.00
- DOS(E_F) (states/eV/f.u.) = 3.0

a = 5.713 Å, b = 5.713 Å, c = 5.713 Å
α = 144.65°, β = 144.65°, γ = 50.86°
Fractional coordinates of all 3 atoms:
Nd (0.000, 0.000, 0.000)
Al (0.286, 0.286, 0.000)
Tc (0.699, 0.699, 0.000)

NdAl3Tc | GGA-PBE | relaxed

Computed properties:
- mass density (Mg/m³) = 5.02
- calculated formation energy (kJ per mole of atoms) = -32
- uncorrected energy (eV per atom) = -5.604
- SG = Pm-3m (221)
- magnetization (μB/atom) = 0.00
- DOS(E_F) (states/eV/f.u.) = 1.4

a = 4.747 Å, b = 4.747 Å, c = 4.747 Å
α = 90.00°, β = 90.00°, γ = 90.00°
Fractional coordinates of all 5 atoms:
Nd (0.000, 0.000, 0.000)
Al (0.000, 0.500, 0.500)
Al (0.500, 0.000, 0.500)
Al (0.500, 0.500, 0.000)
Tc (0.500, 0.500, 0.500)

Nd3Al9Tc2 | GGA-PBE | relaxed

Computed properties:
- mass density (Mg/m³) = 5.26
- calculated formation energy (kJ per mole of atoms) = -43
- uncorrected energy (eV per atom) = -5.357
- SG = Immm (71)
- magnetization (μB/atom) = 0.00
- DOS(E_F) (states/eV/f.u.) = 9.0

a = 8.354 Å, b = 8.354 Å, c = 8.354 Å
α = 149.38°, β = 109.32°, γ = 78.96°
Fractional coordinates of all 14 atoms:
Nd (0.000, 0.000, 0.000)
Nd (0.301, 0.301, 0.000)
Nd (0.699, 0.699, 0.000)
Al (0.009, 0.651, 0.358)
Al (0.161, 0.879, 0.282)
Al (0.294, 0.651, 0.642)
Al (0.403, 0.121, 0.282)
Al (0.500, 0.000, 0.500)
Al (0.597, 0.879, 0.718)
Al (0.706, 0.349, 0.358)
Al (0.839, 0.121, 0.718)
Al (0.991, 0.349, 0.642)
Tc (0.322, 0.500, 0.822)
Tc (0.678, 0.500, 0.178)

Nd5AlTe4 | GGA-PBE | relaxed

Computed properties:
- mass density (Mg/m³) = 6.53
- uncorrected energy (eV per atom) = -5.242
- SG = I4/m (87)
- uncorrected formation energy (meV/atom) = -1226.9
- magnetization (μB/atom) = 0.00
- DOS(E_F) (states/eV/f.u.) = 4.2

a = 7.782 Å, b = 7.782 Å, c = 7.782 Å
α = 99.54°, β = 99.54°, γ = 131.96°
Fractional coordinates of all 10 atoms:
Nd (0.000, 0.000, 0.000)
Nd (0.212, 0.404, 0.616)
Nd (0.404, 0.788, 0.192)
Nd (0.596, 0.212, 0.808)
Nd (0.788, 0.596, 0.384)
Al (0.500, 0.500, 0.000)
Te (0.096, 0.698, 0.794)
Te (0.302, 0.096, 0.398)
Te (0.698, 0.904, 0.602)
Te (0.904, 0.302, 0.206)

Nd2AlTe4 | GGA-PBE | relaxed

Computed properties:
- mass density (Mg/m³) = 6.14
- uncorrected energy (eV per atom) = -4.677
- SG = P2_1/m (11)
- uncorrected formation energy (meV/atom) = -984.7
- magnetization (μB/atom) = 0.00
- DOS(E_F) (states/eV/f.u.) = 1.8

a = 7.282 Å, b = 7.457 Å, c = 8.584 Å
α = 90.00°, β = 106.66°, γ = 90.00°
Fractional coordinates of all 14 atoms:
Nd (0.209, 0.250, 0.044)
Nd (0.260, 0.250, 0.572)
Nd (0.740, 0.750, 0.428)
Nd (0.791, 0.750, 0.956)
Al (0.274, 0.750, 0.321)
Al (0.726, 0.250, 0.679)
Te (0.009, 0.004, 0.262)
Te (0.009, 0.496, 0.262)
Te (0.423, 0.750, 0.074)
Te (0.434, 0.750, 0.641)
Te (0.566, 0.250, 0.359)
Te (0.577, 0.250, 0.926)
Te (0.991, 0.504, 0.738)
Te (0.991, 0.996, 0.738)

Nd5Al2Te2 | GGA-PBE | relaxed

Computed properties:
- mass density (Mg/m³) = 6.32
- uncorrected energy (eV per atom) = -5.008
- SG = Cmce (64)
- uncorrected formation energy (meV/atom) = -829.6
- magnetization (μB/atom) = 0.00
- DOS(E_F) (states/eV/f.u.) = 11.7

a = 8.999 Å, b = 8.999 Å, c = 8.220 Å
α = 90.00°, β = 90.00°, γ = 54.39°
Fractional coordinates of all 18 atoms:
Nd (0.000, 0.000, 0.000)
Nd (0.038, 0.694, 0.669)
Nd (0.194, 0.538, 0.169)
Nd (0.306, 0.962, 0.669)
Nd (0.462, 0.806, 0.169)
Nd (0.500, 0.500, 0.500)
Nd (0.538, 0.194, 0.831)
Nd (0.694, 0.038, 0.331)
Nd (0.806, 0.462, 0.831)
Nd (0.962, 0.306, 0.331)
Al (0.119, 0.881, 0.384)
Al (0.381, 0.619, 0.884)
Al (0.619, 0.381, 0.116)
Al (0.881, 0.119, 0.616)
Te (0.203, 0.203, 0.000)
Te (0.297, 0.297, 0.500)
Te (0.703, 0.703, 0.500)
Te (0.797, 0.797, 0.000)

Nd3AlTe6 | GGA-PBE | relaxed

Computed properties:
- mass density (Mg/m³) = 5.81
- uncorrected energy (eV per atom) = -4.877
- SG = Cmc2_1 (36)
- uncorrected formation energy (meV/atom) = -1187.8
- magnetization (μB/atom) = 0.00

a = 9.834 Å, b = 9.834 Å, c = 7.408 Å
α = 90.00°, β = 90.00°, γ = 102.00°
Fractional coordinates of all 20 atoms:
Nd (0.096, 0.904, 0.500)
Nd (0.223, 0.416, 0.614)
Nd (0.416, 0.223, 0.114)
Nd (0.584, 0.777, 0.614)
Nd (0.777, 0.584, 0.114)
Nd (0.904, 0.096, 0.000)
Al (0.296, 0.704, 0.149)
Al (0.704, 0.296, 0.649)
Te (0.065, 0.597, 0.325)
Te (0.126, 0.200, 0.305)
Te (0.200, 0.126, 0.805)
Te (0.279, 0.721, 0.794)
Te (0.403, 0.935, 0.325)
Te (0.459, 0.541, 0.291)
Te (0.541, 0.459, 0.791)
Te (0.597, 0.065, 0.825)
Te (0.721, 0.279, 0.294)
Te (0.800, 0.874, 0.305)
Te (0.874, 0.800, 0.805)
Te (0.935, 0.403, 0.825)

Nd3AlTe2 | GGA-PBE | relaxed

Computed properties:
- mass density (Mg/m³) = 6.25
- uncorrected energy (eV per atom) = -5.099
- SG = Fddd (70)
- uncorrected formation energy (meV/atom) = -1044.2
- magnetization (μB/atom) = 0.00
- DOS(E_F) (states/eV/f.u.) = 2.7

a = 14.684 Å, b = 14.002 Å, c = 7.785 Å
α = 79.15°, β = 69.47°, γ = 31.38°
Fractional coordinates of all 24 atoms:
Nd (0.041, 0.539, 0.200)
Nd (0.115, 0.635, 0.635)
Nd (0.200, 0.720, 0.041)
Nd (0.280, 0.800, 0.461)
Nd (0.365, 0.885, 0.885)
Nd (0.461, 0.959, 0.280)
Nd (0.539, 0.041, 0.720)
Nd (0.635, 0.115, 0.115)
Nd (0.720, 0.200, 0.539)
Nd (0.800, 0.280, 0.959)
Nd (0.885, 0.365, 0.365)
Nd (0.959, 0.461, 0.800)
Al (0.042, 0.042, 0.208)
Al (0.208, 0.208, 0.042)
Al (0.792, 0.792, 0.958)
Al (0.958, 0.958, 0.792)
Te (0.127, 0.127, 0.623)
Te (0.293, 0.293, 0.457)
Te (0.377, 0.377, 0.873)
Te (0.457, 0.457, 0.293)
Te (0.543, 0.543, 0.707)
Te (0.623, 0.623, 0.127)
Te (0.707, 0.707, 0.543)
Te (0.873, 0.873, 0.377)